VASP calculation (PBE) on a geometry-optimized AcBPt2 structure.

Computed properties:
Density: 13.64 g/cm³
Uncorrected energy: -78.90 eV for the cell shown
Space group: No. 180
M_tot: 0.00 Bohr magnetons per cell
Energy of formation: -858 meV/atom
D(E_F): 3.740 states/eV per cell
E above lowest polymorph: 0 meV per atom

abc: 5.6970 5.6970 8.1590
angles: 90.00 90.00 120.00
Positions (direct):
Ac  0.0000  0.5000  0.1667
Ac  0.5000  0.0000  0.5000
Ac  0.5000  0.5000  0.8333
B  0.0000  0.5000  0.6667
B  0.5000  0.0000  0.0000
B  0.5000  0.5000  0.3333
Pt  0.1591  0.3183  0.5000
Pt  0.1591  0.8409  0.8333
Pt  0.3183  0.1591  0.1667
Pt  0.6817  0.8409  0.1667
Pt  0.8409  0.1591  0.8333
Pt  0.8409  0.6817  0.5000